Record 1
Na2Er2Hg7: optimized geometry, PBE.

Values from the calculation:
Symmetry: Cmmm, No. 65
Energy of formation in eV per atom: -0.030

a b c (Å): 7.331 5.897 7.331
angles (deg): 90.00 96.73 90.00
Sites, in units of the cell vectors:
Na 0.737 0.000 0.263
Na 0.263 0.000 0.737
Er 0.811 0.500 0.811
Er 0.189 0.500 0.189
Hg 0.000 0.254 0.500
Hg 0.500 0.746 0.000
Hg 0.000 0.746 0.500
Hg 0.500 0.254 0.000
Hg 0.000 0.000 0.000
Hg 0.500 0.745 0.500
Hg 0.500 0.255 0.500

---

Record 2
In12Sn3Sb5: optimized geometry, PBE.

Values from the calculation:
Symmetry: Ia-3d, No. 230
Formation energy (no corrections) in kJ/mol of atoms: 8.4

a b c (Å): 15.230 15.230 15.230
angles (deg): 109.47 109.47 109.47
Sites, in units of the cell vectors:
Sn 0.750 0.375 0.125
Sn 0.875 0.750 0.125
Sn 0.375 0.750 0.625
Sn 0.250 0.125 0.375
Sn 0.875 0.125 0.250
Sn 0.375 0.625 0.250
Sn 0.625 0.375 0.750
Sn 0.125 0.875 0.750
Sn 0.750 0.875 0.625
Sn 0.625 0.250 0.375
Sn 0.125 0.250 0.875
Sn 0.250 0.625 0.875
Sb 0.125 0.375 0.250
Sb 0.000 0.500 0.000
Sb 0.000 0.000 0.000
Sb 0.375 0.250 0.125
Sb 0.500 0.000 0.500
Sb 0.500 0.500 0.000
Sb 0.125 0.750 0.375
Sb 0.750 0.125 0.875
Sb 0.750 0.625 0.375
Sb 0.375 0.125 0.750
Sb 0.625 0.875 0.250
Sb 0.500 0.500 0.500
Sb 0.500 0.000 0.000
Sb 0.000 0.000 0.500
Sb 0.250 0.375 0.625
Sb 0.250 0.875 0.125
Sb 0.000 0.500 0.500
Sb 0.875 0.250 0.625
Sb 0.625 0.750 0.875
Sb 0.875 0.625 0.750
In 0.731 0.140 0.062
In 0.331 0.562 0.422
In 0.938 0.360 0.269
In 0.562 0.231 0.140
In 0.591 0.731 0.669
In 0.938 0.578 0.169
In 0.331 0.769 0.409
In 0.078 0.909 0.140
In 0.578 0.938 0.669
In 0.731 0.591 0.169
In 0.769 0.438 0.360
In 0.831 0.922 0.062
In 0.140 0.731 0.562
In 0.360 0.422 0.091
In 0.091 0.922 0.360
In 0.409 0.140 0.578
In 0.091 0.169 0.231
In 0.438 0.669 0.078
In 0.831 0.909 0.269
In 0.140 0.409 0.078
In 0.360 0.938 0.769
In 0.578 0.640 0.409
In 0.922 0.831 0.562
In 0.769 0.331 0.909
In 0.422 0.360 0.591
In 0.078 0.169 0.438
In 0.231 0.669 0.091
In 0.169 0.091 0.731
In 0.640 0.062 0.231
In 0.860 0.591 0.922
In 0.562 0.331 0.922
In 0.591 0.860 0.422
In 0.909 0.831 0.769
In 0.909 0.078 0.640
In 0.860 0.269 0.438
In 0.169 0.078 0.938
In 0.640 0.578 0.909
In 0.422 0.062 0.331
In 0.269 0.409 0.831
In 0.231 0.562 0.640
In 0.922 0.091 0.860
In 0.669 0.231 0.591
In 0.438 0.769 0.860
In 0.062 0.422 0.831
In 0.409 0.269 0.331
In 0.062 0.640 0.731
In 0.669 0.438 0.578
In 0.269 0.860 0.938

---

Record 3
MoS: optimized geometry, PBE.

Values from the calculation:
Symmetry: Pmmn, No. 59
Formation energy (no corrections) in kJ/mol of atoms: -17.4
Distance to the lowest polymorph of the same formula in meV per atom: 278

a b c (Å): 2.991 3.940 5.091
angles (deg): 90.00 90.00 90.00
Sites, in units of the cell vectors:
Mo 0.750 0.750 0.169
Mo 0.250 0.250 0.831
S 0.750 0.750 0.710
S 0.250 0.250 0.290

---

Record 4
KTl2Ru: optimized geometry, PBE.

Values from the calculation:
Symmetry: Pmm2, No. 25
Energy of formation in eV per atom: 0.333

a b c (Å): 4.403 3.298 8.126
angles (deg): 89.98 90.00 90.00
Sites, in units of the cell vectors:
K 0.000 0.625 0.506
Ru 0.500 0.625 0.911
Tl 0.000 0.125 0.887
Tl 0.500 0.126 0.195

---

Record 5
U6Al43V4: optimized geometry, PBE.

Values from the calculation:
Symmetry: P6_3/mcm, No. 193
Energy of formation in eV per atom: -0.194

a b c (Å): 10.995 10.995 17.364
angles (deg): 90.00 90.00 120.00
Site moments in Bohr magnetons follow the coordinates.
Sites, in units of the cell vectors:
U 0.522 0.000 0.588  2.20
U 0.478 0.000 0.412  2.20
U 0.000 0.522 0.588  2.20
U 0.478 0.000 0.088  2.20
U 0.000 0.522 0.912  2.20
U 0.000 0.478 0.412  2.20
U 0.522 0.000 0.912  2.20
U 0.000 0.478 0.088  2.20
U 0.478 0.478 0.588  2.20
U 0.522 0.522 0.412  2.20
U 0.522 0.522 0.088  2.20
U 0.478 0.478 0.912  2.20
Al 0.141 0.593 0.750  0.00
Al 0.859 0.407 0.250  0.00
Al 0.407 0.548 0.750  0.00
Al 0.593 0.141 0.750  0.00
Al 0.593 0.452 0.250  0.00
Al 0.407 0.859 0.250  0.00
Al 0.452 0.859 0.750  0.00
Al 0.548 0.407 0.750  0.00
Al 0.548 0.141 0.250  0.00
Al 0.452 0.593 0.250  0.00
Al 0.859 0.452 0.750  0.00
Al 0.141 0.548 0.250  0.00
Al 0.157 0.000 0.115  0.00
Al 0.843 0.000 0.885  0.00
Al 0.000 0.157 0.115  0.00
Al 0.843 0.000 0.615  0.00
Al 0.000 0.157 0.385  0.00
Al 0.000 0.843 0.885  0.00
Al 0.157 0.000 0.385  0.00
Al 0.000 0.843 0.615  0.00
Al 0.843 0.843 0.115  0.00
Al 0.157 0.157 0.885  0.00
Al 0.157 0.157 0.615  0.00
Al 0.843 0.843 0.385  0.00
Al 0.247 0.493 0.500  -0.01
Al 0.753 0.507 0.500  -0.01
Al 0.507 0.753 0.500  -0.01
Al 0.753 0.507 0.000  -0.01
Al 0.493 0.247 0.000  -0.01
Al 0.493 0.247 0.500  -0.01
Al 0.247 0.493 0.000  -0.01
Al 0.507 0.753 0.000  -0.01
Al 0.247 0.753 0.500  -0.01
Al 0.753 0.247 0.500  -0.01
Al 0.753 0.247 0.000  -0.01
Al 0.247 0.753 0.000  -0.01
Al 0.147 0.000 0.750  0.01
Al 0.853 0.000 0.250  0.01
Al 0.000 0.147 0.750  0.01
Al 0.000 0.853 0.250  0.01
Al 0.853 0.853 0.750  0.01
Al 0.147 0.147 0.250  0.01
Al 0.333 0.667 0.628  0.00
Al 0.667 0.333 0.372  0.00
Al 0.667 0.333 0.128  0.00
Al 0.667 0.333 0.872  0.00
Al 0.333 0.667 0.872  0.00
Al 0.333 0.667 0.128  0.00
Al 0.333 0.667 0.372  0.00
Al 0.667 0.333 0.628  0.00
Al 0.252 0.000 0.530  -0.01
Al 0.748 0.000 0.470  -0.01
Al 0.000 0.252 0.530  -0.01
Al 0.748 0.000 0.030  -0.01
Al 0.000 0.252 0.970  -0.01
Al 0.000 0.748 0.470  -0.01
Al 0.252 0.000 0.970  -0.01
Al 0.000 0.748 0.030  -0.01
Al 0.748 0.748 0.530  -0.01
Al 0.252 0.252 0.470  -0.01
Al 0.252 0.252 0.030  -0.01
Al 0.748 0.748 0.970  -0.01
Al 0.161 0.393 0.664  0.00
Al 0.839 0.607 0.336  0.00
Al 0.607 0.768 0.664  0.00
Al 0.839 0.607 0.164  0.00
Al 0.393 0.161 0.836  0.00
Al 0.393 0.232 0.336  0.00
Al 0.161 0.393 0.836  0.00
Al 0.607 0.839 0.164  0.00
Al 0.232 0.839 0.664  0.00
Al 0.393 0.232 0.164  0.00
Al 0.768 0.607 0.836  0.00
Al 0.768 0.161 0.336  0.00
Al 0.607 0.768 0.836  0.00
Al 0.232 0.393 0.164  0.00
Al 0.607 0.839 0.336  0.00
Al 0.393 0.161 0.664  0.00
Al 0.768 0.161 0.164  0.00
Al 0.232 0.393 0.336  0.00
Al 0.232 0.839 0.836  0.00
Al 0.768 0.607 0.664  0.00
Al 0.839 0.232 0.836  0.00
Al 0.161 0.768 0.164  0.00
Al 0.161 0.768 0.336  0.00
Al 0.839 0.232 0.664  0.00
V 0.000 0.000 0.500  0.22
V 0.000 0.000 0.000  0.22
V 0.731 0.000 0.750  -0.17
V 0.269 0.000 0.250  -0.17
V 0.000 0.731 0.750  -0.17
V 0.000 0.269 0.250  -0.17
V 0.269 0.269 0.750  -0.17
V 0.731 0.731 0.250  -0.17

---

Record 6
Tb6YTm12: optimized geometry, PBE.

Values from the calculation:
Symmetry: R-3m, No. 166
Distance to the lowest polymorph of the same formula in meV per atom: 0
Energy of formation in eV per atom: 0.127

a b c (Å): 8.520 8.520 8.520
angles (deg): 79.82 79.82 79.82
Sites, in units of the cell vectors:
Tb 0.768 0.768 0.163
Tb 0.837 0.232 0.232
Tb 0.232 0.837 0.232
Tb 0.232 0.232 0.837
Tb 0.163 0.768 0.768
Tb 0.768 0.163 0.768
Y 0.000 0.000 0.000
Tm 0.804 0.486 0.486
Tm 0.486 0.804 0.486
Tm 0.486 0.486 0.804
Tm 0.196 0.514 0.514
Tm 0.514 0.196 0.514
Tm 0.514 0.514 0.196
Tm 0.136 0.136 0.486
Tm 0.864 0.514 0.864
Tm 0.514 0.864 0.864
Tm 0.864 0.864 0.514
Tm 0.136 0.486 0.136
Tm 0.486 0.136 0.136

---

Total DFT energy (no corrections) / eV per atom: -1.291 -3.187 -7.659 -3.443 -5.196 -4.499